Entry from Alexandria via LeMat-Bulk: crystalline Ca2SbWO6 at its relaxed geometry (GGA+U).

Properties
energy: -6.72 eV/atom
total magnetic moment: 1.999 μB per cell
polymorph energy (0 for the lowest one): 0.028 eV per atom

a b c (Å): 5.7054 8.1064 5.9013
angles (deg): 90.00 91.60 90.00
Closest atoms and distances in Å follow each position.
Element x y z (fractional)
Ca  0.0008  0.2500  0.4490  4 O 2.34-2.40
Ca  0.4847  0.2500  0.9401  4 O 2.30-2.44
Ca  0.5153  0.7500  0.0599  4 O 2.30-2.44
Ca  0.9992  0.7500  0.5510  4 O 2.34-2.40
Sb  0.0000  0.0000  0.0000  6 O 2.18-2.34
Sb  0.0000  0.5000  0.0000  6 O 2.18-2.34
W  0.5000  0.0000  0.5000  6 O 1.95-2.13
W  0.5000  0.5000  0.5000  6 O 1.95-2.13
O  0.1267  0.7500  0.9423  2 Sb 2.18, 2 Ca 2.30-2.40
O  0.2072  0.0594  0.6757  1 W 2.05
O  0.2072  0.4406  0.6757  1 W 2.05
O  0.3420  0.0584  0.2134  1 W 1.95
O  0.3420  0.4416  0.2134  1 W 1.95
O  0.3943  0.7500  0.4529  2 W 2.13, 1 Ca 2.34
O  0.6057  0.2500  0.5471  2 W 2.13, 1 Ca 2.34
O  0.6580  0.5584  0.7866  1 W 1.95
O  0.6580  0.9416  0.7866  1 W 1.95
O  0.7928  0.5594  0.3243  1 W 2.05
O  0.7928  0.9406  0.3243  1 W 2.05
O  0.8733  0.2500  0.0577  2 Sb 2.18, 2 Ca 2.30-2.40